Entry 1:
This record from the Alexandria database describes a geometry-optimized ThTl2Br6 structure. The functional is PBE.

Cell and atoms, written as POSCAR:
```
ThTl2Br6
1.0
7.865 0.000 0.000
0.000 8.326 0.000
-6.644 0.000 11.301
Th Tl Br
2 4 12
direct
0.000 0.000 0.000 Th
0.000 0.500 0.500 Th
0.318 0.091 0.775 Tl
0.318 0.409 0.275 Tl
0.682 0.591 0.725 Tl
0.682 0.909 0.225 Tl
0.093 0.051 0.238 Br
0.093 0.449 0.738 Br
0.237 0.717 0.071 Br
0.237 0.783 0.571 Br
0.341 0.184 0.047 Br
0.341 0.316 0.547 Br
0.659 0.684 0.453 Br
0.659 0.816 0.953 Br
0.763 0.217 0.429 Br
0.763 0.283 0.929 Br
0.907 0.551 0.262 Br
0.907 0.949 0.762 Br
```

Properties
Space-group type: No. 14
Uncorrected formation energy: -1.382 eV/atom
E_tot: -3.85 eV per atom


Entry 2:
This record from the Alexandria database describes a geometry-optimized ThTlBr structure. The functional is PBE.

Cell and atoms, written as POSCAR:
```
ThTlBr
1.0
3.220 -9.312 0.000
3.220 9.312 0.000
0.000 0.000 3.848
Th Tl Br
2 2 2
direct
0.081 0.919 0.750 Th
0.919 0.081 0.250 Th
0.430 0.570 0.250 Tl
0.570 0.430 0.750 Tl
0.202 0.798 0.250 Br
0.798 0.202 0.750 Br
```

Properties
Space-group type: No. 63
Uncorrected formation energy: -0.340 eV/atom
E_tot: -4.16 eV per atom


Entry 3:
This record from the Alexandria database describes a geometry-optimized Tm2ThBr structure. The functional is PBE.

Cell and atoms, written as POSCAR:
```
Tm2ThBr
1.0
1.816 1.048 10.043
-1.816 1.048 10.043
0.000 -2.097 10.043
Tm Th Br
2 1 1
direct
0.243 0.243 0.243 Tm
0.757 0.757 0.757 Tm
0.000 0.000 0.000 Th
0.500 0.500 0.500 Br
```

Properties
Space-group type: No. 166
Uncorrected formation energy: -0.519 eV/atom
E_tot: -5.03 eV per atom


Entry 4:
This record from the Alexandria database describes a geometry-optimized ThUBr2 structure. The functional is PBE.

Cell and atoms, written as POSCAR:
```
ThUBr2
1.0
1.768 1.021 10.618
-1.768 1.021 10.618
0.000 -2.041 10.618
Th U Br
1 1 2
direct
0.000 0.000 0.000 Th
0.500 0.500 0.500 U
0.405 0.405 0.405 Br
0.595 0.595 0.595 Br
```

Properties
Space-group type: No. 166
Uncorrected formation energy: -0.529 eV/atom
E_tot: -6.04 eV per atom


Entry 5:
This record from the Alexandria database describes a geometry-optimized ThUBr structure. The functional is PBE.

Cell and atoms, written as POSCAR:
```
ThUBr
1.0
0.000 7.151 4.108
6.022 0.000 4.108
6.022 7.151 0.000
Th U Br
4 4 4
direct
0.277 0.723 0.311 Th
0.561 0.939 0.527 Th
0.723 0.277 0.689 Th
0.939 0.561 0.973 Th
0.035 0.095 0.314 U
0.095 0.035 0.556 U
0.694 0.936 0.155 U
0.936 0.694 0.215 U
0.037 0.321 0.741 Br
0.321 0.037 0.901 Br
0.349 0.509 0.929 Br
0.509 0.349 0.213 Br
```

Properties
Space-group type: No. 43
Uncorrected formation energy: 0.068 eV/atom
E_tot: -6.73 eV per atom


Entry 6:
This record from the Alexandria database describes a geometry-optimized Th4WBr5 structure. The functional is PBE.

Cell and atoms, written as POSCAR:
```
Th4WBr5
1.0
8.992 -1.903 0.000
8.992 1.903 0.000
-1.396 0.000 9.480
Th W Br
4 1 5
direct
0.003 0.003 0.224 Th
0.336 0.336 0.963 Th
0.664 0.664 0.037 Th
0.997 0.997 0.776 Th
0.500 0.500 0.000 W
0.166 0.166 0.780 Br
0.170 0.170 0.296 Br
0.500 0.500 0.500 Br
0.830 0.830 0.704 Br
0.834 0.834 0.220 Br
```

Properties
Space-group type: No. 12
Uncorrected formation energy: -0.941 eV/atom
E_tot: -6.04 eV per atom


Entry 7:
This record from the Alexandria database describes a geometry-optimized ThWBr structure. The functional is PBE.

Cell and atoms, written as POSCAR:
```
ThWBr
1.0
3.404 0.000 0.000
-0.034 3.407 0.000
-0.083 -0.338 13.528
Th W Br
2 2 2
direct
0.245 0.228 0.292 Th
0.755 0.772 0.708 Th
0.251 0.255 0.547 W
0.749 0.745 0.453 W
0.259 0.287 0.861 Br
0.741 0.713 0.139 Br
```

Properties
Space-group type: No. 2
Uncorrected formation energy: -0.461 eV/atom
E_tot: -7.81 eV per atom


Entry 8:
This record from the Alexandria database describes a geometry-optimized YThBr structure. The functional is PBE.

Cell and atoms, written as POSCAR:
```
YThBr
1.0
1.847 1.066 16.509
-1.847 1.066 16.509
0.000 -2.132 16.509
Y Th Br
2 2 2
direct
0.087 0.087 0.087 Y
0.913 0.913 0.913 Y
0.362 0.362 0.362 Th
0.638 0.638 0.638 Th
0.207 0.207 0.207 Br
0.793 0.793 0.793 Br
```

Properties
Space-group type: No. 166
Uncorrected formation energy: -0.793 eV/atom
E_tot: -5.98 eV per atom


Entry 9:
This record from the Alexandria database describes a geometry-optimized YThBr5 structure. The functional is PBE.

Cell and atoms, written as POSCAR:
```
YThBr5
1.0
8.956 0.000 0.000
0.000 3.907 0.000
-2.795 0.000 14.003
Y Th Br
2 2 10
direct
0.085 0.250 0.158 Y
0.915 0.750 0.842 Y
0.411 0.750 0.388 Th
0.589 0.250 0.612 Th
0.125 0.250 0.808 Br
0.146 0.250 0.367 Br
0.175 0.750 0.032 Br
0.319 0.750 0.577 Br
0.416 0.250 0.218 Br
0.584 0.750 0.782 Br
0.681 0.250 0.423 Br
0.825 0.250 0.968 Br
0.854 0.750 0.633 Br
0.875 0.750 0.192 Br
```

Properties
Space-group type: No. 11
Uncorrected formation energy: -1.625 eV/atom
E_tot: -4.80 eV per atom


Entry 10:
This record from the Alexandria database describes a geometry-optimized ThZrBr structure. The functional is PBE.

Cell and atoms, written as POSCAR:
```
ThZrBr
1.0
3.092 -1.784 0.000
3.092 1.784 0.000
-1.730 0.000 16.356
Th Zr Br
2 2 2
direct
0.234 0.234 0.243 Th
0.766 0.766 0.757 Th
0.146 0.146 0.929 Zr
0.854 0.854 0.071 Zr
0.395 0.395 0.619 Br
0.605 0.605 0.381 Br
```

Properties
Space-group type: No. 12
Uncorrected formation energy: -0.493 eV/atom
E_tot: -6.37 eV per atom


Entry 11:
This record from the Alexandria database describes a geometry-optimized Ti3Br structure. The functional is PBE.

Cell and atoms, written as POSCAR:
```
Ti3Br
1.0
5.665 0.000 0.000
-2.833 4.906 0.000
0.000 0.000 4.930
Ti Br
6 2
direct
0.160 0.320 0.250 Ti
0.160 0.840 0.250 Ti
0.320 0.160 0.750 Ti
0.680 0.840 0.250 Ti
0.840 0.160 0.750 Ti
0.840 0.680 0.750 Ti
0.333 0.667 0.750 Br
0.667 0.333 0.250 Br
```

Properties
Space-group type: No. 194
Uncorrected formation energy: 0.305 eV/atom
E_tot: -6.03 eV per atom


Entry 12:
This record from the Alexandria database describes a geometry-optimized TiBr structure. The functional is PBE.

Cell and atoms, written as POSCAR:
```
TiBr
1.0
0.000 4.533 5.036
3.901 0.000 5.036
3.901 4.533 0.000
Ti Br
4 4
direct
0.005 0.005 0.745 Ti
0.255 0.255 0.995 Ti
0.745 0.745 0.005 Ti
0.995 0.995 0.255 Ti
0.165 0.585 0.585 Br
0.415 0.835 0.835 Br
0.585 0.165 0.165 Br
0.835 0.415 0.415 Br
```

Properties
Space-group type: No. 70
Uncorrected formation energy: -0.296 eV/atom
E_tot: -5.08 eV per atom